Entry 1:
# CsSmSiTe3 PBE optimized geometry
data_CsSmSiTe3
_space_group_name_H-M_alt 'C m c m'
_space_group_IT_number 63
_space_group_name_Hall '-C 2c 2'
_cell_length_a 4.820
_cell_length_b 16.413
_cell_length_c 12.201
_cell_angle_alpha 90.00
_cell_angle_beta 90.00
_cell_angle_gamma 90.00
loop_
_atom_site_label
_atom_site_fract_x
_atom_site_fract_y
_atom_site_fract_z
_atom_site_occupancy
Cs1 0.000 0.246 0.250 1
Sm1 0.000 0.500 0.000 1
Si1 0.000 0.035 0.750 1
Te1 0.000 0.122 0.556 1
Te2 0.000 0.449 0.750 1
# - crystal system = orthorhombic
# - size of the total moment (μB/cell) = 0.002
# - ρ (g/cm3) = 4.8
# - DFT total energy (eV per atom) = -4.189

=====

Entry 2:
# CsTaSi PBE optimized geometry
data_CsTaSi
_space_group_name_H-M_alt 'F -4 3 m'
_space_group_IT_number 216
_space_group_name_Hall 'F -4 2 3'
_cell_length_a 6.841
_cell_length_b 6.841
_cell_length_c 6.841
_cell_angle_alpha 90.00
_cell_angle_beta 90.00
_cell_angle_gamma 90.00
loop_
_atom_site_label
_atom_site_fract_x
_atom_site_fract_y
_atom_site_fract_z
_atom_site_occupancy
Cs1 0.000 0.000 0.000 1
Ta1 0.250 0.250 0.250 1
Si1 0.000 0.000 0.500 1
# - crystal system = cubic
# - size of the total moment (μB/cell) = 7.369
# - ρ (g/cm3) = 7.1
# - DFT total energy (eV per atom) = -4.453
# - relative energy among the computed polymorphs (meV per atom) = 0.0

=====

Entry 3:
# CsTaSi PBE optimized geometry
data_CsTaSi
_space_group_name_H-M_alt 'F -4 3 m'
_space_group_IT_number 216
_space_group_name_Hall 'F -4 2 3'
_cell_length_a 7.099
_cell_length_b 7.099
_cell_length_c 7.099
_cell_angle_alpha 90.00
_cell_angle_beta 90.00
_cell_angle_gamma 90.00
loop_
_atom_site_label
_atom_site_fract_x
_atom_site_fract_y
_atom_site_fract_z
_atom_site_occupancy
Cs1 0.000 0.000 0.000 1
Ta1 0.250 0.250 0.250 1
Si1 0.250 0.250 0.750 1
# - crystal system = cubic
# - size of the total moment (μB/cell) = 8.003
# - ρ (g/cm3) = 6.3
# - DFT total energy (eV per atom) = -3.376
# - relative energy among the computed polymorphs (meV per atom) = 1076.9

=====

Entry 4:
# CsTaSi PBE optimized geometry
data_CsTaSi
_space_group_name_H-M_alt 'F -4 3 m'
_space_group_IT_number 216
_space_group_name_Hall 'F -4 2 3'
_cell_length_a 7.021
_cell_length_b 7.021
_cell_length_c 7.021
_cell_angle_alpha 90.00
_cell_angle_beta 90.00
_cell_angle_gamma 90.00
loop_
_atom_site_label
_atom_site_fract_x
_atom_site_fract_y
_atom_site_fract_z
_atom_site_occupancy
Cs1 0.000 0.000 0.000 1
Ta1 0.000 0.000 0.500 1
Si1 0.250 0.250 0.250 1
# - crystal system = cubic
# - size of the total moment (μB/cell) = 7.997
# - ρ (g/cm3) = 6.6
# - DFT total energy (eV per atom) = -4.281
# - relative energy among the computed polymorphs (meV per atom) = 172.4

=====

Entry 5:
# CsTbSiTe3 PBE optimized geometry
data_CsTbSiTe3
_space_group_name_H-M_alt 'C m c m'
_space_group_IT_number 63
_space_group_name_Hall '-C 2c 2'
_cell_length_a 4.759
_cell_length_b 16.439
_cell_length_c 12.078
_cell_angle_alpha 90.00
_cell_angle_beta 90.00
_cell_angle_gamma 90.00
loop_
_atom_site_label
_atom_site_fract_x
_atom_site_fract_y
_atom_site_fract_z
_atom_site_occupancy
Cs1 0.000 0.244 0.250 1
Tb1 0.000 0.500 0.000 1
Si1 0.000 0.037 0.750 1
Te1 0.000 0.121 0.550 1
Te2 0.000 0.451 0.750 1
# - crystal system = orthorhombic
# - size of the total moment (μB/cell) = 0.007
# - ρ (g/cm3) = 4.9
# - DFT total energy (eV per atom) = -4.162

=====

Entry 6:
# CsThSi PBE optimized geometry
data_CsThSi
_space_group_name_H-M_alt 'F -4 3 m'
_space_group_IT_number 216
_space_group_name_Hall 'F -4 2 3'
_cell_length_a 7.262
_cell_length_b 7.262
_cell_length_c 7.262
_cell_angle_alpha 90.00
_cell_angle_beta 90.00
_cell_angle_gamma 90.00
loop_
_atom_site_label
_atom_site_fract_x
_atom_site_fract_y
_atom_site_fract_z
_atom_site_occupancy
Cs1 0.000 0.000 0.000 1
Th1 0.250 0.250 0.250 1
Si1 0.250 0.250 0.750 1
# - crystal system = cubic
# - size of the total moment (μB/cell) = 1.718
# - ρ (g/cm3) = 6.8
# - DFT total energy (eV per atom) = -3.221
# - relative energy among the computed polymorphs (meV per atom) = 660.9